## P
BeNiRu3 | PBE | relaxed

The space group is Pm-3m (No. 221) and the conventional cell measures 4.042, 4.042 and 4.042 Å, with angles of 90.00, 90.00 and 90.00 degrees. The asymmetric unit holds Be at (0.000, 0.000, 0.000), Ni at (0.500, 0.500, 0.500) and Ru at (0.000, 0.000, 0.500).

The density is 9.33 g cm⁻³.


## Q
BeNiRu3 | PBE | relaxed

The space group is Pm-3m (No. 221) and the conventional cell measures 4.421, 4.421 and 4.421 Å, with angles of 90.00, 90.00 and 90.00 degrees. The asymmetric unit holds Be at (0.000, 0.000, 0.000), Ni at (0.500, 0.500, 0.500) and Ru at (0.000, 0.500, 0.500).

The density is 7.13 g cm⁻³.


Which structure is most stable? P, by 1002 meV/atom over the runner-up.


## P
Be2NiRu2 | PBE | relaxed

The space group is P4/mbm (No. 127) and the conventional cell measures 5.808, 5.808 and 3.155 Å, with angles of 90.00, 90.00 and 90.00 degrees. The asymmetric unit holds Be at (0.126, 0.374, 0.000), Ni at (0.000, 0.000, 0.000) and Ru at (0.176, 0.676, 0.500).

The density is 8.70 g cm⁻³.


## Q
Be2NiRu2 | PBE | relaxed

The space group is P4/mbm (No. 127) and the conventional cell measures 6.505, 6.505 and 2.757 Å, with angles of 90.00, 90.00 and 90.00 degrees. The asymmetric unit holds Be at (0.162, 0.338, 0.000), Ni at (0.000, 0.000, 0.500) and Ru at (0.136, 0.636, 0.500).

The density is 7.94 g cm⁻³.


Which structure is most stable? P, by 391 meV/atom over the runner-up.


## P
BeZnNiS2 | PBE | relaxed

The space group is P4/mmm (No. 123) and the conventional cell measures 4.464, 4.464 and 4.434 Å, with angles of 90.00, 90.00 and 90.00 degrees. The asymmetric unit holds Be at (0.000, 0.000, 0.000), Zn at (0.500, 0.500, 0.000), Ni at (0.500, 0.500, 0.500) and S at (0.000, 0.500, 0.500).

The density is 3.71 g cm⁻³.


## Q
BeZnNiS2 | PBE | relaxed

The space group is P4/mmm (No. 123) and the conventional cell measures 4.529, 4.529 and 3.907 Å, with angles of 90.00, 90.00 and 90.00 degrees. The asymmetric unit holds Be at (0.000, 0.000, 0.000), Zn at (0.500, 0.500, 0.000), Ni at (0.000, 0.000, 0.500) and S at (0.000, 0.500, 0.500).

The density is 4.09 g cm⁻³.


Which structure is most stable? Q, by 287 meV/atom over the runner-up.


## P
BeNiSb | PBE | relaxed

The space group is F-43m (No. 216) and the conventional cell measures 5.693, 5.693 and 5.693 Å, with angles of 90.00, 90.00 and 90.00 degrees. The asymmetric unit holds Be at (0.000, 0.000, 0.000), Ni at (0.250, 0.250, 0.750) and Sb at (0.000, 0.000, 0.500).

The density is 6.82 g cm⁻³.


## Q
BeNiSb | PBE | relaxed

The space group is I4mm (No. 107) and the conventional cell measures 3.514, 3.514 and 7.143 Å, with angles of 90.00, 90.00 and 90.00 degrees. The asymmetric unit holds Be at (0.000, 0.000, 0.000), Ni at (0.000, 0.000, 0.313) and Sb at (0.000, 0.000, 0.665).

The density is 7.14 g cm⁻³.


## R
BeNiSb | PBE | relaxed

The space group is F-43m (No. 216) and the conventional cell measures 5.825, 5.825 and 5.825 Å, with angles of 90.00, 90.00 and 90.00 degrees. The asymmetric unit holds Be at (0.000, 0.000, 0.000), Ni at (0.000, 0.000, 0.500) and Sb at (0.250, 0.250, 0.750).

The density is 6.37 g cm⁻³.


Which structure is most stable? P, by 229 meV/atom over the runner-up.


## P
Be3NiSb | PBE | relaxed

The space group is Pm-3m (No. 221) and the conventional cell measures 4.526, 4.526 and 4.526 Å, with angles of 90.00, 90.00 and 90.00 degrees. The asymmetric unit holds Be at (0.000, 0.000, 0.500), Ni at (0.500, 0.500, 0.500) and Sb at (0.000, 0.000, 0.000).

The density is 3.72 g cm⁻³.


## Q
Be3NiSb | PBE | relaxed

The space group is Pm-3m (No. 221) and the conventional cell measures 4.111, 4.111 and 4.111 Å, with angles of 90.00, 90.00 and 90.00 degrees. The asymmetric unit holds Be at (0.000, 0.000, 0.500), Ni at (0.000, 0.000, 0.000) and Sb at (0.500, 0.500, 0.500).

The density is 4.96 g cm⁻³.


Which structure is most stable? Q, by 1120 meV/atom over the runner-up.


## P
BeNiSb3 | PBE | relaxed

The space group is Pm-3m (No. 221) and the conventional cell measures 4.963, 4.963 and 4.963 Å, with angles of 90.00, 90.00 and 90.00 degrees. The asymmetric unit holds Be at (0.000, 0.000, 0.000), Ni at (0.500, 0.500, 0.500) and Sb at (0.000, 0.500, 0.500).

The density is 5.88 g cm⁻³.


## Q
BeNiSb3 | PBE | relaxed

The space group is Pm-3m (No. 221) and the conventional cell measures 4.818, 4.818 and 4.818 Å, with angles of 90.00, 90.00 and 90.00 degrees. The asymmetric unit holds Be at (0.000, 0.000, 0.000), Ni at (0.500, 0.500, 0.500) and Sb at (0.000, 0.000, 0.500).

The density is 6.43 g cm⁻³.


Which structure is most stable? P, by 29 meV/atom over the runner-up.


## P
BeNiSb2Te | PBE | relaxed

The space group is P4/mmm (No. 123) and the conventional cell measures 4.775, 4.775 and 5.002 Å, with angles of 90.00, 90.00 and 90.00 degrees. The asymmetric unit holds Be at (0.000, 0.000, 0.000), Ni at (0.500, 0.500, 0.500), Sb at (0.000, 0.500, 0.000) and Te at (0.000, 0.000, 0.500).

The density is 6.39 g cm⁻³.


## Q
BeNiSb2Te | PBE | relaxed

The space group is P4/mmm (No. 123) and the conventional cell measures 4.884, 4.884 and 5.238 Å, with angles of 90.00, 90.00 and 90.00 degrees. The asymmetric unit holds Be at (0.000, 0.000, 0.000), Ni at (0.500, 0.500, 0.500), Sb at (0.000, 0.500, 0.500) and Te at (0.500, 0.500, 0.000).

The density is 5.83 g cm⁻³.


Which structure is most stable? Q, by 36 meV/atom over the runner-up.


## P
ScBe3Ni | PBE | relaxed

The space group is Pm-3m (No. 221) and the conventional cell measures 4.542, 4.542 and 4.542 Å, with angles of 90.00, 90.00 and 90.00 degrees. The asymmetric unit holds Sc at (0.000, 0.000, 0.000), Be at (0.000, 0.000, 0.500) and Ni at (0.500, 0.500, 0.500).

The density is 2.32 g cm⁻³.


## Q
ScBe3Ni | PBE | relaxed

The space group is Pm-3m (No. 221) and the conventional cell measures 3.985, 3.985 and 3.985 Å, with angles of 90.00, 90.00 and 90.00 degrees. The asymmetric unit holds Sc at (0.000, 0.000, 0.000), Be at (0.000, 0.500, 0.500) and Ni at (0.500, 0.500, 0.500).

The density is 3.43 g cm⁻³.


Which structure is most stable? Q, by 2132 meV/atom over the runner-up.


## P
ScBeNi3 | PBE | relaxed

The space group is Pm-3m (No. 221) and the conventional cell measures 4.368, 4.368 and 4.368 Å, with angles of 90.00, 90.00 and 90.00 degrees. The asymmetric unit holds Sc at (0.000, 0.000, 0.000), Be at (0.500, 0.500, 0.500) and Ni at (0.000, 0.000, 0.500).

The density is 4.58 g cm⁻³.


## Q
ScBeNi3 | PBE | relaxed

The space group is Imma (No. 74) and the conventional cell measures 5.399, 7.988 and 5.874 Å, with angles of 90.00, 90.00 and 90.00 degrees. The asymmetric unit holds Sc at (0.000, 0.250, 0.030), Be at (0.000, 0.000, 0.500), Ni at (0.000, 0.250, 0.533) and Ni at (0.250, 0.015, 0.750).

The density is 6.03 g cm⁻³.


Which structure is most stable? Q, by 1471 meV/atom over the runner-up.


## P
ScBe4Ni | PBE | relaxed

The space group is F-43m (No. 216) and the conventional cell measures 6.319, 6.319 and 6.319 Å, with angles of 90.00, 90.00 and 90.00 degrees. The asymmetric unit holds Sc at (0.000, 0.000, 0.000), Be at (0.123, 0.123, 0.623) and Ni at (0.250, 0.250, 0.250).

The density is 3.68 g cm⁻³.


## Q
ScBe4Ni | PBE | relaxed

The space group is P4/mmm (No. 123) and the conventional cell measures 3.895, 3.895 and 5.764 Å, with angles of 90.00, 90.00 and 90.00 degrees. The asymmetric unit holds Sc at (0.000, 0.000, 0.000), Be at (0.000, 0.500, 0.500), Be at (0.500, 0.500, 0.168) and Ni at (0.500, 0.500, 0.500).

The density is 2.65 g cm⁻³.


Which structure is most stable? P, by 647 meV/atom over the runner-up.


## P
Sc2BeNi2 | PBE | relaxed

The space group is P4/mbm (No. 127) and the conventional cell measures 6.376, 6.376 and 3.743 Å, with angles of 90.00, 90.00 and 90.00 degrees. The asymmetric unit holds Sc at (0.176, 0.324, 0.000), Be at (0.000, 0.000, 0.500) and Ni at (0.134, 0.634, 0.500).

The density is 4.72 g cm⁻³.


## Q
Sc2BeNi2 | PBE | relaxed

The space group is C2/c (No. 15) and the conventional cell measures 8.750, 5.105 and 6.873 Å, with angles of 90.00, 104.59 and 90.00 degrees. The asymmetric unit holds Sc at (0.151, 0.136, 0.150), Be at (0.000, 0.354, 0.750) and Ni at (0.127, 0.369, 0.501).

The density is 4.84 g cm⁻³.


Which structure is most stable? Q, by 136 meV/atom over the runner-up.


## P
BeNiSe3 | PBE | relaxed

The space group is Pm-3m (No. 221) and the conventional cell measures 4.529, 4.529 and 4.529 Å, with angles of 90.00, 90.00 and 90.00 degrees. The asymmetric unit holds Be at (0.000, 0.000, 0.000), Ni at (0.500, 0.500, 0.500) and Se at (0.000, 0.000, 0.500).

The density is 5.44 g cm⁻³.


## Q
BeNiSe3 | PBE | relaxed

The space group is Pm-3m (No. 221) and the conventional cell measures 4.644, 4.644 and 4.644 Å, with angles of 90.00, 90.00 and 90.00 degrees. The asymmetric unit holds Be at (0.000, 0.000, 0.000), Ni at (0.500, 0.500, 0.500) and Se at (0.000, 0.500, 0.500).

The density is 5.05 g cm⁻³.


Which structure is most stable? P, by 91 meV/atom over the runner-up.